# Ba2Pu3RhO12 (PBE, relaxed)
data_Ba2Pu3RhO12
_space_group_name_H-M_alt 'R -3 m'
_space_group_IT_number 166
_space_group_name_Hall '-R 3 2"'
_cell_length_a 7.8863
_cell_length_b 7.8863
_cell_length_c 17.5688
_cell_angle_alpha 90.00
_cell_angle_beta 90.00
_cell_angle_gamma 120.00
loop_
_atom_site_label
_atom_site_fract_x
_atom_site_fract_y
_atom_site_fract_z
_atom_site_occupancy
Ba1 0.0000 0.0000 0.1677 1
Pu1 0.0000 0.5000 0.0000 1
Rh1 0.0000 0.0000 0.5000 1
O1 0.0801 0.5401 0.1084 1
O2 0.0864 0.5432 0.3725 1
# **ΔE_f (raw)**: -2.401 eV/atom
# **Crystal system**: trigonal
# **Density of states at the Fermi level**: 10.6 states/eV/f.u.
# **Total DFT energy (no corrections)**: -470.71 eV per cell

***

# Sc2HgCl (PBE, relaxed)
data_Sc2HgCl
_space_group_name_H-M_alt 'I -4 2 d'
_space_group_IT_number 122
_space_group_name_Hall 'I -4 2bw'
_cell_length_a 5.6680
_cell_length_b 5.6680
_cell_length_c 13.6529
_cell_angle_alpha 90.00
_cell_angle_beta 90.00
_cell_angle_gamma 90.00
loop_
_atom_site_label
_atom_site_fract_x
_atom_site_fract_y
_atom_site_fract_z
_atom_site_occupancy
Sc1 0.2128 0.2500 0.1250 1
Hg1 0.0000 0.0000 0.5000 1
Cl1 0.0000 0.0000 0.0000 1
# **ΔE_f (raw)**: -0.347 eV/atom
# **Crystal system**: tetragonal
# **Distance to the lowest polymorph of the same formula**: 446 meV per atom
# **Density of states at the Fermi level**: 6.3 states/eV/f.u.
# **Total DFT energy (no corrections)**: -64.81 eV per cell